Record 1
Here is an optimized crystal structure of Rb2GaReN4 from Alexandria. Energies are from GGA-PBE.

```
Rb2GaReN4
1.0
5.921 0.001 -0.003
-0.001 5.921 -0.003
-2.958 -2.958 4.216
Rb Ga Re N
2 1 1 4
Cartesian
0.002 2.963 4.092
0.001 0.001 1.987
2.963 0.003 4.092
2.961 2.962 1.984
2.493 1.530 3.018
4.393 2.493 0.950
1.529 3.430 0.951
3.431 -1.526 3.020
```

Output
The energy relative to the elements, uncorrected comes out at -2.38 eV per formula unit.

=====

Record 2
Here is an optimized crystal structure of CePm2Ga9 from Alexandria. Energies are from GGA-PBE.

```
CePm2Ga9
1.0
4.346 0.000 0.000
0.000 4.346 0.000
0.000 0.000 13.052
Ce Pm Ga
1 2 9
Cartesian
0.000 0.000 0.000
0.000 0.000 4.354
0.000 0.000 8.698
2.173 2.173 0.000
2.173 2.173 4.342
2.173 2.173 8.710
2.173 0.000 2.158
2.173 0.000 6.526
2.173 0.000 10.894
0.000 2.173 2.158
0.000 2.173 6.526
0.000 2.173 10.894
```

Output
The final energy is -49.04 eV per cell.

=====

Please write out number 2 again, unchanged.
Here is an optimized crystal structure of CePm2Ga9 from Alexandria. Energies are from GGA-PBE.

```
CePm2Ga9
1.0
4.346 0.000 0.000
0.000 4.346 0.000
0.000 0.000 13.052
Ce Pm Ga
1 2 9
Cartesian
0.000 0.000 0.000
0.000 0.000 4.354
0.000 0.000 8.698
2.173 2.173 0.000
2.173 2.173 4.342
2.173 2.173 8.710
2.173 0.000 2.158
2.173 0.000 6.526
2.173 0.000 10.894
0.000 2.173 2.158
0.000 2.173 6.526
0.000 2.173 10.894
```

Output
The final energy is -49.04 eV per cell.

=====

What is the formula in the first record?
Rb2GaReN4